Material: InFe2W
Method: DFT, PBE
State: optimized geometry Values from VASP.

The structure in Quantum ESPRESSO input format:
```
&SYSTEM
  ibrav = 0, nat = 8, ntyp = 3
/
ATOMIC_SPECIES
In 114.82 In.upf
Fe 55.84 Fe.upf
W 183.84 W.upf
ATOMIC_POSITIONS angstrom
In 0.000 0.000 0.000
In 1.881 1.881 4.168
Fe 0.000 0.000 4.168
Fe 0.000 1.881 2.084
Fe 1.881 0.000 6.252
Fe 1.881 1.881 0.000
W 0.000 1.881 6.252
W 1.881 0.000 2.084
CELL_PARAMETERS angstrom
3.761 0.000 0.000
0.000 3.761 0.000
0.000 0.000 8.336
```

Properties
Crystal system: tetragonal
SG: I-4m2
Total magnetization in μB/f.u.: 0.11

***

Material: Pr4Ag2Ge
Method: DFT, PBE
State: optimized geometry Values from VASP.

The structure in Quantum ESPRESSO input format:
```
&SYSTEM
  ibrav = 0, nat = 7, ntyp = 3
/
ATOMIC_SPECIES
Pr 140.91 Pr.upf
Ag 107.87 Ag.upf
Ge 72.64 Ge.upf
ATOMIC_POSITIONS angstrom
Pr 0.000 0.000 3.167
Pr 0.000 0.000 9.599
Pr 0.000 0.000 15.945
Pr 0.000 0.000 22.377
Ag 0.000 0.000 6.347
Ag 0.000 0.000 19.197
Ge 0.000 0.000 0.000
CELL_PARAMETERS angstrom
2.644 1.526 8.515
-2.644 1.526 8.515
0.000 -3.053 8.515
```

Properties
Crystal system: trigonal
SG: R-3m
Total magnetization in μB/f.u.: 1.66

***

Material: SrAuC3
Method: DFT, PBE
State: optimized geometry Values from VASP.

The structure in Quantum ESPRESSO input format:
```
&SYSTEM
  ibrav = 0, nat = 5, ntyp = 3
/
ATOMIC_SPECIES
Sr 87.62 Sr.upf
Au 196.97 Au.upf
C 12.01 C.upf
ATOMIC_POSITIONS angstrom
Sr 0.000 0.000 0.000
Au 2.302 2.302 2.302
C 0.000 0.000 2.302
C 0.000 2.302 0.000
C 2.302 0.000 0.000
CELL_PARAMETERS angstrom
4.604 0.000 0.000
0.000 4.604 0.000
0.000 0.000 4.604
```

Properties
Crystal system: cubic
Excess energy over the best structure of this formula in the dataset in meV per atom: 1385
SG: Pm-3m
Total magnetization in μB/f.u.: 0.00

***

| no. | ΔH_f (0 K) (eV/atom) |
| --- | --- |
| 1 | 0.411 |
| 2 | -0.252 |
| 3 | 3.686 |